(1)
Crystalline LaYCu2 at its relaxed geometry. Source: the Alexandria database, functional GGA-PBEsol.

V: 85.81 Å³/cell
Formation enthalpy at 0 K: -0.6 eV/f.u.
E above lowest polymorph: 2.2 kJ per mole of atoms
Size of the total moment: 0.0 μB per formula unit
DFT total energy: -21.4 eV per cell
SG: No. 123

Lattice parameters (Å, degrees): 3.4884 4.9597 4.9597 90.00 90.00 90.00
Last column: nearest neighbours and their distance in Å.
Positions (direct):
Cu (0.0000, 0.5000, 0.0000)  4 Y 3.03, 4 La 3.03
Cu (0.0000, 0.0000, 0.5000)  4 La 3.03, 4 Y 3.03
La (0.5000, 0.5000, 0.5000)  8 Cu 3.03
Y (0.5000, 0.0000, 0.0000)  8 Cu 3.03

---

(2)
Crystalline LaY2Cu at its relaxed geometry. Source: the Alexandria database, functional GGA-PBEsol.

V: 102.93 Å³/cell
Formation enthalpy at 0 K: 0.8 eV/f.u.
E above lowest polymorph: 27.3 kJ per mole of atoms
Size of the total moment: 0.0 μB per formula unit
DFT total energy: -22.5 eV per cell
SG: No. 139

Lattice parameters (Å, degrees): 4.5342 4.5342 5.9453 112.42 112.42 90.00
Last column: nearest neighbours and their distance in Å.
Positions (direct):
Y (0.7500, 0.2500, 0.5000)  4 Y 3.21, 4 La 3.38, 4 Cu 3.38
Y (0.2500, 0.7500, 0.5000)  4 Y 3.21, 4 La 3.38, 4 Cu 3.38
Cu (0.5000, 0.5000, 0.0000)  4 La 3.21, 8 Y 3.38
La (0.0000, 0.0000, 0.0000)  4 Cu 3.21, 8 Y 3.38

---

(3)
Crystalline LaZn2Cu2 at its relaxed geometry. Source: the Alexandria database, functional GGA-PBEsol.

V: 88.11 Å³/cell
Formation enthalpy at 0 K: -1.0 eV/f.u.
Size of the total moment: 0.0 μB per formula unit
DFT total energy: -18.2 eV per cell
SG: No. 139

Lattice parameters (Å, degrees): 4.4302 4.4302 5.4741 113.87 113.87 90.00
Last column: nearest neighbours and their distance in Å.
Positions (direct):
Zn (0.6360, 0.6360, 0.2719)  4 Cu 2.44, 1 Zn 2.44
Zn (0.3640, 0.3640, 0.7281)  4 Cu 2.44, 1 Zn 2.44
Cu (0.7500, 0.2500, 0.5000)  4 Zn 2.44
Cu (0.2500, 0.7500, 0.5000)  4 Zn 2.44
La (0.0000, 0.0000, 0.0000)  8 Cu 3.15, 10 Zn 3.27-3.36

---

(4)
Crystalline LaZnCu at its relaxed geometry. Source: the Alexandria database, functional GGA-PBEsol.

V: 61.34 Å³/cell
Formation enthalpy at 0 K: -0.7 eV/f.u.
Size of the total moment: 0.0 μB per formula unit
DFT total energy: -12.0 eV per cell
SG: No. 187

Lattice parameters (Å, degrees): 3.5621 4.4592 4.4592 120.00 90.00 90.00
Last column: nearest neighbours and their distance in Å.
Positions (direct):
La (0.0000, 0.3333, 0.6667)  6 Cu 3.13, 6 Zn 3.13
Cu (0.5000, 0.0000, 0.0000)  3 Zn 2.57
Zn (0.5000, 0.6667, 0.3333)  3 Cu 2.57